No. 1
! GGA-PBE Cs7Br2O2, optimized geometry; values from VASP
! V = 58.8 Å³/atom
! formation energy without anion corrections = -1149 meV/atom
&SYSTEM
  ibrav = 0, nat = 11, ntyp = 3
/
ATOMIC_SPECIES
Cs 132.91 Cs.upf
O 16.00 O.upf
Br 79.90 Br.upf
CELL_PARAMETERS angstrom
8.339 -0.026 -0.876
-1.280 8.504 -3.392
0.020 -0.296 9.240
ATOMIC_POSITIONS angstrom
Cs 1.112 3.490 2.317
Cs 1.529 4.992 6.149
Cs 1.139 7.626 2.367
Cs 0.000 0.000 0.000
Cs 5.551 3.190 -1.177
Cs 5.967 4.692 2.655
Cs 5.940 0.556 2.604
O 7.124 2.157 0.769
O -0.045 6.026 4.202
Br 3.777 2.486 4.790
Br 3.303 5.696 0.181



No. 2
! GGA-PBE Cs2Br7O, optimized geometry; values from VASP
! V = 34.0 Å³/atom
! formation energy without anion corrections = -513 meV/atom
&SYSTEM
  ibrav = 0, nat = 10, ntyp = 3
/
ATOMIC_SPECIES
Br 79.90 Br.upf
Cs 132.91 Cs.upf
O 16.00 O.upf
CELL_PARAMETERS angstrom
-0.053 6.174 4.463
-4.661 -3.557 4.865
2.274 -0.764 7.586
ATOMIC_POSITIONS angstrom
Br -3.359 1.865 6.648
Br -1.377 3.378 4.579
Br -1.354 0.752 2.680
Br 0.238 0.147 6.301
Br -3.337 -0.761 4.749
Br -2.678 1.706 10.613
Br 0.000 0.000 0.000
Cs -2.372 -1.506 8.557
Cs -0.068 3.359 8.357
O -2.357 1.308 4.664



No. 3
! GGA-PBE Cs8Br2O3, optimized geometry; values from VASP
! V = 43.8 Å³/atom
! formation energy without anion corrections = -1229 meV/atom
&SYSTEM
  ibrav = 0, nat = 13, ntyp = 3
/
ATOMIC_SPECIES
Br 79.90 Br.upf
Cs 132.91 Cs.upf
O 16.00 O.upf
CELL_PARAMETERS angstrom
7.372 -0.188 2.113
1.651 8.421 4.658
0.022 1.153 9.696
ATOMIC_POSITIONS angstrom
Br 3.686 6.905 11.154
Br 5.359 2.481 5.313
Cs 3.023 1.753 8.039
Cs 3.944 5.858 5.193
Cs 7.935 3.566 7.711
Cs 5.101 3.528 11.273
Cs 8.119 8.512 14.906
Cs 6.022 7.634 8.427
Cs 1.110 5.820 8.755
Cs 0.926 0.874 1.561
O 3.686 -0.094 1.057
O 0.448 3.054 8.378
O 1.225 6.520 5.975



No. 4
! GGA-PBE Cs12BrO5, optimized geometry; values from VASP
! V = 47.4 Å³/atom
! formation energy without anion corrections = -1000 meV/atom
&SYSTEM
  ibrav = 0, nat = 18, ntyp = 3
/
ATOMIC_SPECIES
Cs 132.91 Cs.upf
O 16.00 O.upf
Br 79.90 Br.upf
CELL_PARAMETERS angstrom
-5.728 3.346 -3.870
-6.396 2.134 3.692
6.709 14.964 2.987
ATOMIC_POSITIONS angstrom
Cs -0.105 16.058 3.344
Cs -1.053 11.179 1.045
Cs -5.100 13.006 0.994
Cs -1.611 2.868 -1.246
Cs 2.997 9.358 1.116
Cs -5.311 4.386 -0.536
Cs 3.462 14.293 4.161
Cs -8.877 6.151 -1.352
Cs -0.316 7.438 1.815
Cs -3.805 17.576 4.055
Cs -2.016 8.953 -1.999
Cs -4.362 9.265 1.764
O -1.865 9.462 3.310
O 0.490 9.155 -0.441
O -3.551 10.982 -0.501
O -4.041 1.827 -0.060
O -8.083 3.653 -0.118
Br 0.000 0.000 0.000



No. 5
! GGA-PBE Cs4BrO, optimized geometry; values from VASP
! V = 60.2 Å³/atom
! formation energy without anion corrections = -1075 meV/atom
! excess energy over the best structure of this formula in the dataset = 0.00 eV/f.u.
&SYSTEM
  ibrav = 0, nat = 6, ntyp = 3
/
ATOMIC_SPECIES
Cs 132.91 Cs.upf
O 16.00 O.upf
Br 79.90 Br.upf
CELL_PARAMETERS angstrom
-2.595 -2.413 -2.967
7.490 -3.674 -3.436
5.263 -9.311 3.081
ATOMIC_POSITIONS angstrom
Cs 5.562 -11.174 -2.807
Cs 2.265 -7.504 0.577
Cs 7.827 -7.841 -3.898
Cs 4.530 -4.177 -0.515
O 10.084 -8.307 -1.899
Br 7.679 -12.332 -0.120



No. 6
! GGA-PBE Cs12Br5O3, optimized geometry; values from VASP
! V = 55.6 Å³/atom
! formation energy without anion corrections = -1261 meV/atom
&SYSTEM
  ibrav = 0, nat = 80, ntyp = 3
/
ATOMIC_SPECIES
Cs 132.91 Cs.upf
Br 79.90 Br.upf
O 16.00 O.upf
CELL_PARAMETERS angstrom
-16.033 -7.934 -1.449
11.804 -11.592 6.956
-1.359 14.319 10.734
ATOMIC_POSITIONS angstrom
Cs -5.273 -3.645 5.708
Cs -5.903 -12.231 7.403
Cs -12.103 3.367 5.832
Cs -8.501 -7.017 10.139
Cs -9.796 -10.132 2.072
Cs 8.036 -6.349 6.341
Cs 7.859 1.895 15.308
Cs -5.121 -0.790 10.207
Cs -3.152 -9.291 10.158
Cs -8.433 -8.519 5.497
Cs -13.532 -2.365 3.277
Cs -0.314 -1.561 10.533
Cs -9.110 -3.421 6.899
Cs -5.881 -1.862 14.907
Cs 7.944 -2.842 12.964
Cs -5.176 -7.993 3.493
Cs -2.627 7.483 11.545
Cs -0.412 2.786 12.748
Cs 3.668 -4.831 11.709
Cs -1.722 0.294 6.246
Cs -9.256 -0.375 4.532
Cs -3.865 -5.501 9.995
Cs 2.220 -8.474 8.097
Cs 3.439 -12.140 5.115
Cs -2.865 -5.560 13.892
Cs -6.676 -2.507 2.297
Cs -2.436 4.084 6.083
Cs 1.089 -2.700 13.944
Cs -2.723 0.354 2.349
Cs -7.808 3.267 8.144
Cs 0.330 -15.248 7.233
Cs 2.914 1.811 6.102
Cs -13.447 -7.102 0.933
Cs -4.639 3.202 10.347
Cs -0.467 -4.416 6.034
Cs 3.298 -5.262 5.925
Cs 4.208 4.926 14.169
Cs 3.523 -1.786 9.342
Cs -5.918 10.041 9.007
Cs -8.886 0.056 10.316
Cs -13.624 1.142 9.900
Cs -0.949 -8.409 5.894
Cs -2.961 -12.690 4.696
Cs 0.315 7.025 8.838
Cs 2.845 3.313 10.744
Cs 0.293 -3.345 1.334
Cs 6.516 -8.574 10.409
Cs -9.026 6.933 11.126
Br 6.340 -4.316 9.061
Br -2.794 -2.603 8.120
Br -8.016 -3.967 -0.724
Br -0.680 7.160 5.367
Br -5.556 6.315 8.377
Br 6.151 -10.336 7.066
Br -7.670 -3.448 11.130
Br 2.083 -1.759 5.111
Br -5.157 -7.826 7.286
Br -3.231 -4.083 2.537
Br -0.431 2.619 8.955
Br -11.738 5.130 9.175
Br -8.696 3.192 4.643
Br 5.223 1.364 8.845
Br 0.000 0.000 0.000
Br 5.902 -5.796 3.478
Br -2.114 -9.763 2.754
Br -0.031 -11.522 7.864
Br -2.357 -1.123 13.704
Br -11.927 -0.891 7.180
O -6.613 1.434 9.753
O -3.042 1.937 4.532
O -12.893 -4.812 2.285
O -7.579 -2.487 4.859
O 7.305 -0.395 13.956
O -7.768 -8.508 2.864
O -0.242 8.639 10.950
O -5.345 -13.846 5.291
O 1.026 -6.640 6.488
O 1.991 -2.720 11.382
O -2.545 -7.144 11.708
O 2.180 3.301 13.377



No. 7
! GGA-PBE Cs3Br2O8, optimized geometry; values from VASP
! V = 22.7 Å³/atom
! formation energy without anion corrections = -516 meV/atom
&SYSTEM
  ibrav = 0, nat = 13, ntyp = 3
/
ATOMIC_SPECIES
Cs 132.91 Cs.upf
O 16.00 O.upf
Br 79.90 Br.upf
CELL_PARAMETERS angstrom
-6.203 -1.710 -0.820
-1.538 -4.726 -4.168
-1.859 -7.601 4.258
ATOMIC_POSITIONS angstrom
Cs 0.000 0.000 0.000
Cs -2.309 -4.196 0.563
Cs -7.290 -9.841 -1.292
O -5.149 -4.375 -3.233
O -4.450 -9.662 2.504
O -4.197 -9.267 -0.235
O -6.229 -7.954 1.223
O -5.402 -4.769 -0.494
O -3.370 -6.083 -1.952
O -3.527 -7.209 1.580
O -6.072 -6.828 -2.309
Br -4.998 -5.518 -1.993
Br -4.601 -8.519 1.264



No. 8
! GGA-PBE Cs6Br3O2, optimized geometry; values from VASP
! V = 42.7 Å³/atom
! formation energy without anion corrections = -1330 meV/atom
&SYSTEM
  ibrav = 0, nat = 11, ntyp = 3
/
ATOMIC_SPECIES
Cs 132.91 Cs.upf
Br 79.90 Br.upf
O 16.00 O.upf
CELL_PARAMETERS angstrom
-0.424 -0.461 4.746
3.520 -2.029 2.532
11.122 20.369 5.388
ATOMIC_POSITIONS angstrom
Cs 8.982 9.876 9.006
Cs 3.055 0.421 5.143
Cs 6.066 3.748 8.150
Cs 8.152 14.130 4.516
Cs 5.236 8.003 3.660
Cs 11.163 17.457 7.523
Br 3.013 3.332 3.008
Br 0.000 0.000 0.000
Br 11.205 14.546 9.659
O 8.351 11.548 6.698
O 5.867 6.331 5.969



No. 9
! GGA-PBE Cs2BrO5, optimized geometry; values from VASP
! V = 24.9 Å³/atom
! formation energy without anion corrections = -466 meV/atom
&SYSTEM
  ibrav = 0, nat = 8, ntyp = 3
/
ATOMIC_SPECIES
O 16.00 O.upf
Cs 132.91 Cs.upf
Br 79.90 Br.upf
CELL_PARAMETERS angstrom
6.499 0.079 0.112
-3.131 5.696 -0.112
-3.131 -2.043 5.318
ATOMIC_POSITIONS angstrom
O -3.056 -0.697 4.279
O -1.398 0.815 1.162
O -0.898 3.003 4.279
O 1.286 0.640 0.913
O -3.056 4.261 0.800
Cs 0.082 -0.048 4.046
Cs 0.082 3.821 1.331
Br -0.223 0.130 0.185



No. 10
! GGA-PBE Cs4Br3O4, optimized geometry; values from VASP
! V = 47.3 Å³/atom
! formation energy without anion corrections = -1147 meV/atom
&SYSTEM
  ibrav = 0, nat = 11, ntyp = 3
/
ATOMIC_SPECIES
Cs 132.91 Cs.upf
O 16.00 O.upf
Br 79.90 Br.upf
CELL_PARAMETERS angstrom
-2.670 -0.344 -4.142
6.752 -4.326 -3.994
-6.435 -7.928 7.754
ATOMIC_POSITIONS angstrom
Cs 0.195 -1.152 -2.976
Cs -3.082 -4.251 -0.606
Cs 3.887 -3.518 -5.160
Cs 0.728 -8.346 0.224
O 0.614 -7.114 -2.751
O -1.995 -6.107 1.794
O -0.359 -6.491 -2.175
O -2.968 -5.484 2.369
Br 3.376 -2.163 -1.997
Br -1.546 -10.712 -1.059
Br -0.807 -1.886 0.677



No. 11
! GGA-PBE Cs2BrO4, optimized geometry; values from VASP
! V = 30.5 Å³/atom
! formation energy without anion corrections = -868 meV/atom
! excess energy over the best structure of this formula in the dataset = 0.00 eV/f.u.
&SYSTEM
  ibrav = 0, nat = 14, ntyp = 3
/
ATOMIC_SPECIES
O 16.00 O.upf
Cs 132.91 Cs.upf
Br 79.90 Br.upf
CELL_PARAMETERS angstrom
5.593 0.000 0.000
0.000 8.745 0.000
0.000 0.000 8.745
ATOMIC_POSITIONS angstrom
O 2.796 8.396 3.830
O 0.000 8.203 4.721
O 2.796 3.830 8.396
O 0.000 4.721 8.203
O 0.000 0.542 4.024
O 0.000 4.024 0.542
O 2.796 4.914 0.348
O 2.796 0.348 4.914
Cs 0.000 1.781 6.963
Cs 0.000 6.964 1.781
Cs 2.796 2.591 2.591
Cs 2.796 6.154 6.154
Br 0.000 4.372 4.372
Br 2.796 0.000 0.000



No. 12
! GGA-PBE Cs2Br2O7, optimized geometry; values from VASP
! V = 25.1 Å³/atom
! formation energy without anion corrections = -401 meV/atom
&SYSTEM
  ibrav = 0, nat = 11, ntyp = 3
/
ATOMIC_SPECIES
O 16.00 O.upf
Cs 132.91 Cs.upf
Br 79.90 Br.upf
CELL_PARAMETERS angstrom
-0.625 4.019 -3.763
0.476 -5.288 -4.773
-6.938 -0.456 1.621
ATOMIC_POSITIONS angstrom
O -0.313 2.010 -1.882
O -4.385 -2.027 -5.863
O -2.587 0.896 -3.677
O -4.500 -2.621 -3.237
O -6.222 -0.829 -4.279
O -0.864 -0.895 -2.635
O -2.701 0.302 -1.051
Cs -1.646 -3.905 -2.943
Cs -4.816 -1.839 -0.209
Br -5.431 -2.273 -4.580
Br -1.656 0.548 -2.334